[1]
Entry from Alexandria via LeMat-Bulk: an optimized crystal structure of EuAs2Pb (PBE).

a = 4.073 Å, b = 4.928 Å, c = 4.928 Å
α = 90.00°, β = 90.00°, γ = 90.00°
Each line ends with the local moment (μB).
Positions (direct):
Pb1 0.500 0.000 0.000  0.01
Eu1 0.500 0.500 0.500  6.71
As1 0.000 0.000 0.500  -0.06
As2 0.000 0.500 0.000  -0.06

Summary:
The space-group type is P4/mmm, No. 123. The value obtained for the energy relative to the elements is -0.484 eV/atom. For the energy above the most stable polymorph in this dataset, the calculation gives 0 meV per atom.


[2]
Entry from Alexandria via LeMat-Bulk: an optimized crystal structure of YMgP2 (PBE).

a = 4.896 Å, b = 4.896 Å, c = 4.896 Å
α = 129.09°, β = 112.88°, γ = 88.89°
Positions (direct):
Mg1 0.250 0.750 0.500
P1 0.022 0.022 0.000
P2 0.478 0.478 0.000
Y1 0.750 0.250 0.500

Summary:
The space-group type is Immm, No. 71. The value obtained for the energy relative to the elements is -0.685 eV/atom.


[3]
Entry from Alexandria via LeMat-Bulk: an optimized crystal structure of TaMo (PBE).

a = 2.714 Å, b = 2.714 Å, c = 9.419 Å
α = 90.00°, β = 90.00°, γ = 90.00°
Positions (direct):
Mo1 0.250 0.250 0.122
Mo2 0.750 0.750 0.878
Ta1 0.250 0.250 0.627
Ta2 0.750 0.750 0.373

Summary:
The space-group type is P4/nmm, No. 129. The value obtained for the energy relative to the elements is 0.234 eV/atom.


[4]
Entry from Alexandria via LeMat-Bulk: an optimized crystal structure of Tl2InPd7S2 (PBE).

a = 3.960 Å, b = 3.960 Å, c = 15.390 Å
α = 82.51°, β = 82.51°, γ = 89.98°
Positions (direct):
Tl1 0.788 0.788 0.423
Tl2 0.212 0.212 0.577
In1 0.000 0.000 0.000
Pd1 0.500 0.500 0.000
Pd2 0.310 0.310 0.381
Pd3 0.690 0.690 0.619
Pd4 0.929 0.429 0.139
Pd5 0.429 0.929 0.139
Pd6 0.571 0.071 0.861
Pd7 0.071 0.571 0.861
S1 0.615 0.615 0.773
S2 0.385 0.385 0.227

Summary:
The space-group type is C2/m, No. 12. The uncorrected formation energy is -0.276 eV per atom.


no.,Fermi-level density of states (states/eV/cell)
1,2.4
2,1.8
3,4.3
4,5.5